Material: Ca2InTe2
Method: DFT, meta-GGA SCAN
State: single point on PBEsol structure

Calculated values
- Energy relative to the elements, uncorrected: -1142.8 meV/atom
- Uncorrected energy: -26.586 eV/atom

abc: 8.5618 8.5618 4.0475
angles: 90.00 90.00 90.00
Last column: nearest neighbours and their distance in Å.
Space group P4/mbm (No. 127)
Asymmetric unit:
Ca (0.1534, 0.3466, 0.0000)  6 Te 3.12-3.29
In (0.0000, 0.0000, 0.5000)  4 Te 3.26
Te (0.1503, 0.6503, 0.5000)  6 Ca 3.12-3.29, 2 In 3.26

Material: Li5Ni5Sb2O12
Method: DFT, meta-GGA SCAN
State: single point on PBEsol structure

Calculated values
- Energy relative to the elements, uncorrected: -1653.2 meV/atom
- Uncorrected energy: -11.741 eV/atom

abc: 5.1346 8.9764 9.8465
angles: 90.00 101.09 90.00
Last column: nearest neighbours and their distance in Å.
Space group C2 (No. 5)
Asymmetric unit:
Li (0.0000, 0.0000, 0.0000)  6 O 2.10-2.22
Li (0.2453, 0.3389, 0.7601)  6 O 2.07-2.26
Li (0.2469, 0.9855, 0.7581)  5 O 2.04-2.16
Ni (0.0000, 0.3279, 0.0000)  6 O 2.06-2.11
Ni (0.0000, 0.5026, 0.5000)  6 O 2.07-2.13
Ni (0.0000, 0.8377, 0.5000)  6 O 2.05-2.11
Ni (0.2459, 0.1619, 0.2466)  6 O 2.03-2.18
Sb (0.0000, 0.1705, 0.5000)  6 O 2.01-2.03
Sb (0.0000, 0.6600, 0.0000)  6 O 2.01-2.02
O (0.1152, 0.5024, 0.8798)  1 Sb 2.01, 3 Li 2.04-2.10, 2 Ni 2.11
O (0.1222, 0.0104, 0.3806)  1 Sb 2.03, 3 Ni 2.07-2.11, 2 Li 2.12-2.26
O (0.1258, 0.3280, 0.3816)  1 Sb 2.02, 3 Ni 2.05-2.16, 2 Li 2.14-2.16
O (0.1272, 0.8150, 0.8784)  1 Sb 2.02, 2 Ni 2.03-2.06, 3 Li 2.09-2.22
O (0.1328, 0.6726, 0.3839)  1 Sb 2.01, 3 Ni 2.07-2.18, 1 Li 2.23
O (0.1367, 0.1656, 0.8795)  1 Sb 2.01, 2 Ni 2.08-2.11, 3 Li 2.09-2.15

Material: CaP2Se
Method: DFT, meta-GGA SCAN
State: single point on PBEsol structure

Calculated values
- Energy relative to the elements, uncorrected: -202.0 meV/atom
- Uncorrected energy: -12.837 eV/atom

abc: 3.7974 3.7974 5.4017
angles: 90.00 90.00 90.00
Last column: nearest neighbours and their distance in Å.
Space group P4/mmm (No. 123)
Asymmetric unit:
Ca (0.0000, 0.0000, 0.0000)  2 Se 2.70
P (0.5000, 0.5000, 0.2945)  1 P 2.22
Se (0.0000, 0.0000, 0.5000)  2 Ca 2.70, 8 P 2.91